{"formula": "RhC2", "functional": "PBE", "state": "optimized geometry", "cell": [[2.746, 0.000, 0.000], [0.000, 2.746, 0.000], [0.000, 0.000, 7.283]], "species": ["Rh", "Rh", "C", "C", "C", "C"], "fractional_positions": [[0.500, 0.000, 0.703], [0.000, 0.500, 0.297], [0.000, 0.000, 0.000], [0.500, 0.500, 0.000], [0.500, 0.000, 0.408], [0.000, 0.500, 0.592]], "sg": "P4/nmm (129)", "relative_energy_mev_per_atom": 1442}


{"formula": "NbI5", "functional": "PBE", "state": "optimized geometry", "cell": [[-2.720, 0.171, -6.209], [10.042, -2.028, -4.454], [2.213, -14.803, -1.377]], "species": ["Nb", "Nb", "Nb", "Nb", "I", "I", "I", "I", "I", "I", "I", "I", "I", "I", "I", "I", "I", "I", "I", "I", "I", "I", "I", "I"], "fractional_positions": [[0.461, 0.216, 0.707], [0.961, 0.784, 0.793], [0.539, 0.784, 0.293], [0.039, 0.216, 0.207], [0.771, 0.000, 0.671], [0.271, 0.000, 0.829], [0.229, 0.000, 0.329], [0.729, 0.000, 0.171], [0.711, 0.195, 0.853], [0.211, 0.805, 0.647], [0.289, 0.805, 0.147], [0.789, 0.195, 0.353], [0.722, 0.377, 0.584], [0.222, 0.623, 0.916], [0.278, 0.623, 0.416], [0.778, 0.377, 0.084], [0.717, 0.613, 0.772], [0.217, 0.387, 0.728], [0.283, 0.387, 0.228], [0.783, 0.613, 0.272], [0.783, 0.824, 0.942], [0.283, 0.176, 0.558], [0.217, 0.176, 0.058], [0.717, 0.824, 0.442]], "sg": "P2_1/c (14)", "raw_formation_energy_mev_per_atom": -398, "relative_energy_mev_per_atom": 14}


{"formula": "Li2InSi", "functional": "PBE", "state": "optimized geometry", "cell": [[4.470, 0.000, 0.000], [0.000, 3.098, 0.000], [0.000, 0.001, 4.948]], "species": ["In", "Li", "Li", "Si"], "fractional_positions": [[0.500, 0.625, 0.789], [0.000, 0.124, 0.968], [0.500, 0.126, 0.299], [0.000, 0.625, 0.444]], "sg": "Pmm2 (25)", "raw_formation_energy_mev_per_atom": -127}


{"formula": "PmZn9Cu2", "functional": "PBE", "state": "optimized geometry", "cell": [[-3.522, 3.035, 4.861], [-6.126, -4.492, 3.021], [2.849, -1.327, 7.547]], "species": ["Pm", "Pm", "Zn", "Zn", "Zn", "Zn", "Zn", "Zn", "Zn", "Zn", "Zn", "Zn", "Zn", "Zn", "Zn", "Zn", "Zn", "Zn", "Zn", "Zn", "Cu", "Cu", "Cu", "Cu"], "fractional_positions": [[0.500, 0.000, 0.000], [0.250, 0.500, 0.500], [0.750, 0.500, 0.500], [0.000, 0.000, 0.000], [0.012, 0.917, 0.674], [0.603, 0.083, 0.326], [0.679, 0.174, 0.583], [0.436, 0.826, 0.417], [0.738, 0.826, 0.583], [0.147, 0.174, 0.417], [0.071, 0.917, 0.326], [0.314, 0.083, 0.674], [0.738, 0.583, 0.826], [0.147, 0.417, 0.174], [0.071, 0.326, 0.917], [0.314, 0.674, 0.083], [0.012, 0.674, 0.917], [0.603, 0.326, 0.083], [0.679, 0.583, 0.174], [0.436, 0.417, 0.826], [0.875, 0.250, 0.750], [0.875, 0.750, 0.250], [0.875, 0.250, 0.250], [0.375, 0.750, 0.750]], "sg": "I4_1/amd (141)", "relative_energy_mev_per_atom": 0}


{"formula": "AcY2TaO8", "functional": "PBE", "state": "optimized geometry", "cell": [[-2.618, 1.388, -4.126], [0.569, -4.685, -1.895], [-6.156, -2.049, 3.216]], "species": ["Ac", "Y", "Y", "Ta", "O", "O", "O", "O", "O", "O", "O", "O"], "fractional_positions": [[0.000, 0.000, 0.500], [0.500, 0.500, 0.765], [0.500, 0.500, 0.235], [0.000, 0.000, 0.000], [0.187, 0.812, 0.204], [0.717, 0.719, 0.000], [0.813, 0.188, 0.204], [0.813, 0.188, 0.796], [0.283, 0.281, 0.000], [0.187, 0.812, 0.796], [0.671, 0.673, 0.500], [0.329, 0.327, 0.500]], "sg": "P2/m (10)", "raw_formation_energy_mev_per_atom": -2882}


{"formula": "BeTlSnCl2", "functional": "PBE", "state": "optimized geometry", "cell": [[-4.414, -2.687, 2.646], [2.258, 0.261, 4.031], [-2.489, 5.136, 1.062]], "species": ["Be", "Tl", "Sn", "Cl", "Cl"], "fractional_positions": [[0.000, 0.500, 0.000], [0.000, 0.000, 0.000], [0.500, 0.500, 0.500], [0.000, 0.000, 0.500], [0.500, 0.000, 0.000]], "sg": "P4/mmm (123)", "raw_formation_energy_mev_per_atom": 269, "relative_energy_mev_per_atom": 476}